Record 1
## AgGeO2 (GGA-PBE)

Data for crystalline AgGeO2 at its relaxed geometry.

abc: 8.100 8.100 8.100
angles: 20.44 20.44 20.44
Element x y z (fractional)
Ge 0.500 0.500 0.500
O 0.875 0.875 0.875
O 0.125 0.125 0.125
Ag 0.000 0.000 0.000

Summary:
The calculation puts the energy relative to the elements, uncorrected at -93.70 kJ per mole of atoms.

=====

Record 2
## Zr3RuC (GGA-PBE)

Data for crystalline Zr3RuC at its relaxed geometry.

abc: 4.957 4.957 4.957
angles: 90.00 90.00 90.00
Element x y z (fractional)
Ru 0.000 0.000 0.000
C 0.500 0.500 0.500
Zr 0.000 0.500 0.000
Zr 0.000 0.000 0.500
Zr 0.500 0.000 0.000

Summary:
For the energy above the lowest structure with this stoichiometry, the calculation gives 1712 meV/atom. The calculation puts the formation energy at 1463 meV per atom.

=====

Record 3
## HgTeBr2 (GGA-PBE)

Data for crystalline HgTeBr2 at its relaxed geometry.

abc: 5.573 5.573 3.541
angles: 90.00 90.00 90.00
Element x y z (fractional)
Te 0.000 0.500 0.500
Hg 0.500 0.000 0.500
Br 0.000 0.000 0.000
Br 0.500 0.500 0.000

Summary:
For the energy above the lowest structure with this stoichiometry, the calculation gives 437 meV/atom. The calculation puts the energy relative to the elements, uncorrected at 21.88 kJ per mole of atoms.

=====

Record 4
## NaLaMg2Co (GGA-PBE)

Data for crystalline NaLaMg2Co at its relaxed geometry.

abc: 5.203 5.203 4.976
angles: 90.00 90.00 90.00
Element x y z (fractional)
Na 0.500 0.500 0.500
Mg 0.000 0.500 0.000
Mg 0.500 0.000 0.000
Co 0.000 0.000 0.000
La 0.000 0.000 0.500

Summary:
The calculation puts the formation energy at 1 meV per atom.

=====

Record 5
## BaSr2InSi (GGA-PBE)

Data for crystalline BaSr2InSi at its relaxed geometry.

abc: 6.079 5.522 6.079
angles: 90.00 90.00 90.00
Element x y z (fractional)
Sr 0.000 0.000 0.500
Sr 0.500 0.000 0.000
Si 0.000 0.000 0.000
Ba 0.500 0.500 0.500
In 0.000 0.500 0.000

Summary:
The calculation puts the energy relative to the elements, uncorrected at -3.46 kJ per mole of atoms.

=====

Record 6
## MnNbSiRu (GGA-PBE)

Data for crystalline MnNbSiRu at its relaxed geometry.

abc: 4.255 4.255 4.255
angles: 60.00 60.00 60.00
Element x y z (fractional)
Ru 0.250 0.250 0.250
Nb 0.500 0.500 0.500
Mn 0.750 0.750 0.750
Si 0.000 0.000 0.000

Summary:
The calculation puts the energy relative to the elements, uncorrected at -42.66 kJ per mole of atoms.

=====

Record 7
## SbPt2Br (GGA-PBE)

Data for crystalline SbPt2Br at its relaxed geometry.

abc: 6.519 6.519 6.519
angles: 152.25 140.49 48.97
Element x y z (fractional)
Sb 0.542 0.542 0.000
Br 0.256 0.756 0.500
Pt 0.956 0.956 0.000
Pt 0.746 0.246 0.500

Summary:
For the energy above the lowest structure with this stoichiometry, the calculation gives 329 meV/atom. The calculation puts the energy relative to the elements, uncorrected at 18.22 kJ per mole of atoms.

=====

Record 8
## Pm6Co2Pb (GGA-PBE)

Data for crystalline Pm6Co2Pb at its relaxed geometry.

abc: 8.652 8.652 8.652
angles: 107.36 112.39 108.71
Element x y z (fractional)
Pm 0.529 0.816 0.713
Pm 0.471 0.184 0.287
Pm 0.103 0.816 0.287
Pm 0.897 0.184 0.713
Pm 0.792 0.025 0.233
Pm 0.208 0.975 0.767
Pm 0.208 0.442 0.233
Pm 0.792 0.558 0.767
Pm 0.684 0.323 0.008
Pm 0.316 0.677 0.992
Pm 0.316 0.323 0.639
Pm 0.684 0.677 0.361
Co 0.500 0.110 0.610
Co 0.500 0.890 0.390
Co 0.653 0.653 0.000
Co 0.347 0.347 0.000
Pb 0.000 0.500 0.500
Pb 0.000 0.000 0.000

Summary:
The calculation puts the formation energy at -204 meV per atom.

=====

Record 9
## SrTa2P (GGA-PBE)

Data for crystalline SrTa2P at its relaxed geometry.

abc: 3.363 5.568 5.550
angles: 60.13 90.00 90.00
Element x y z (fractional)
Sr 0.500 0.500 0.000
Ta 0.000 0.132 0.684
Ta 0.000 0.868 0.316
P 0.500 0.500 0.500

Summary:
The calculation puts the formation energy at 206 meV per atom.

=====

Record 10
## ScCu2Si (GGA-PBE)

Data for crystalline ScCu2Si at its relaxed geometry.

abc: 3.889 3.889 3.912
angles: 90.00 90.00 89.99
Element x y z (fractional)
Cu 0.000 0.000 0.000
Cu 0.500 0.500 0.000
Sc 0.500 0.000 0.500
Si 0.000 0.500 0.500

Summary:
The calculation puts the energy relative to the elements, uncorrected at -25.46 kJ per mole of atoms.

=====

Record 11
## SmDyGaRu (GGA-PBE)

Data for crystalline SmDyGaRu at its relaxed geometry.

abc: 3.970 4.337 5.742
angles: 90.00 110.22 90.00
Element x y z (fractional)
Sm 0.144 0.000 0.288
Dy 0.860 0.500 0.721
Ga 0.564 0.500 0.129
Ru 0.431 0.000 0.863

Summary:
For the energy above the lowest structure with this stoichiometry, the calculation gives 0 meV/atom. The calculation puts the formation energy at -455 meV per atom.

=====

Record 12
## Gd3InRu (GGA-PBE)

Data for crystalline Gd3InRu at its relaxed geometry.

abc: 5.334 5.334 5.334
angles: 90.00 90.00 90.00
Last column: magnetic moment on the atom in μB.
Element x y z (fractional)
Ru 0.000 0.000 0.000  -0.04
Gd 0.000 0.500 0.000  6.99
Gd 0.000 0.000 0.500  6.99
Gd 0.500 0.000 0.000  6.99
In 0.500 0.500 0.500  -0.05

Summary:
The calculation puts the formation energy at -216 meV per atom.

=====

Number 1: DOS at the Fermi energy 0.4 states/eV/cell, VASP energy -5.317 eV per atom. Number 2: DOS at the Fermi energy 8.8 states/eV/cell, VASP energy -7.366 eV per atom. Number 3: DOS at the Fermi energy 3.9 states/eV/cell, VASP energy -1.471 eV per atom. Number 4: DOS at the Fermi energy 4.1 states/eV/cell, VASP energy -3.307 eV per atom. Number 5: DOS at the Fermi energy 7.3 states/eV/cell, VASP energy -2.725 eV per atom. Number 6: DOS at the Fermi energy 1.5 states/eV/cell, VASP energy -8.927 eV per atom. Number 7: DOS at the Fermi energy 2.6 states/eV/cell, VASP energy -4.280 eV per atom. Number 8: DOS at the Fermi energy 15.7 states/eV/cell, VASP energy -5.362 eV per atom. Number 9: DOS at the Fermi energy 3.8 states/eV/cell, VASP energy -7.494 eV per atom. Number 10: DOS at the Fermi energy 2.8 states/eV/cell, VASP energy -5.251 eV per atom. Number 11: DOS at the Fermi energy 3.4 states/eV/cell, VASP energy -5.861 eV per atom. Number 12: DOS at the Fermi energy 3.7 states/eV/cell, VASP energy -11.068 eV per atom.